Cu7Pt5 after structural relaxation, computed with GGA-PBE.

The space group is C2/m (No. 12) and the conventional cell measures 13.757, 2.719 and 9.954 Å, with angles of 90.00, 117.92 and 90.00 degrees. The distinct sites, in fractional coordinates, are Cu at (0.000, 0.000, 0.000), Cu at (0.030, 0.500, 0.255), Cu at (0.134, 0.000, 0.747), Cu at (0.167, 0.000, 0.499), Pt at (0.000, 0.500, 0.500), Pt at (0.160, 0.500, 0.993) and Pt at (0.196, 0.000, 0.256).

As for the formation enthalpy at 0 K: -0.128 eV/atom. The density of states at the Fermi level is 14.11 states/eV/cell. Its total energy is -0.370 Ry per atom. The calculation puts the spin magnetization at 0.000 μB/f.u.

=====

Cu5Pt7 after structural relaxation, computed with GGA-PBE.

The space group is C222 (No. 21) and the conventional cell measures 5.461, 7.727 and 8.144 Å, with angles of 90.00, 90.00 and 90.00 degrees. The distinct sites, in fractional coordinates, are Cu at (0.000, 0.000, 0.000), Cu at (0.000, 0.500, 0.330), Cu at (0.250, 0.250, 0.834), Pt at (0.000, 0.000, 0.327), Pt at (0.000, 0.500, 0.000), Pt at (0.250, 0.250, 0.161) and Pt at (0.250, 0.250, 0.501).

As for the formation enthalpy at 0 K: -0.119 eV/atom. The density of states at the Fermi level is 23.13 states/eV/cell. Its total energy is -0.393 Ry per atom. The calculation puts the spin magnetization at 0.000 μB/f.u.

=====

Cu5Pt7 after structural relaxation, computed with GGA-PBE.

The space group is P4mm (No. 99) and the conventional cell measures 2.770, 2.770 and 22.197 Å, with angles of 90.00, 90.00 and 90.00 degrees. The distinct sites, in fractional coordinates, are Cu at (0.000, 0.000, 0.000), Cu at (0.000, 0.000, 0.162), Cu at (0.000, 0.000, 0.326), Cu at (0.000, 0.000, 0.489), Cu at (0.500, 0.500, 0.928), Pt at (0.000, 0.000, 0.663), Pt at (0.000, 0.000, 0.847), Pt at (0.500, 0.500, 0.080), Pt at (0.500, 0.500, 0.244), Pt at (0.500, 0.500, 0.407), Pt at (0.500, 0.500, 0.571) and Pt at (0.500, 0.500, 0.755).

As for the formation enthalpy at 0 K: -0.109 eV/atom. The density of states at the Fermi level is 15.09 states/eV/cell. Its total energy is -0.392 Ry per atom. The calculation puts the spin magnetization at 0.000 μB/f.u.

=====

CuPt2 after structural relaxation, computed with GGA-PBE.

The space group is P-3m1 (No. 164) and the conventional cell measures 2.7476, 2.7476 and 6.7163 Å, with angles of 90.00, 90.00 and 120.00 degrees. The distinct sites, in fractional coordinates, are Cu at (0.0000, 0.0000, 0.0000) and Pt at (0.3333, 0.6667, 0.6814).

As for the formation enthalpy at 0 K: -0.110 eV/atom. The density of states at the Fermi level is 3.72 states/eV/cell. Its total energy is -0.404 Ry per atom. The calculation puts the spin magnetization at 0.000 μB/f.u.

=====

Cu5Pt7 after structural relaxation, computed with GGA-PBE.

The space group is Amm2 (No. 38) and the conventional cell measures 3.803, 5.495 and 16.441 Å, with angles of 90.00, 90.00 and 90.00 degrees. The distinct sites, in fractional coordinates, are Cu at (0.000, 0.000, 0.000), Cu at (0.000, 0.000, 0.163), Cu at (0.000, 0.000, 0.666), Cu at (0.500, 0.249, 0.745), Pt at (0.000, 0.000, 0.319), Pt at (0.000, 0.000, 0.500), Pt at (0.000, 0.000, 0.826), Pt at (0.500, 0.246, 0.087) and Pt at (0.500, 0.248, 0.913).

As for the formation enthalpy at 0 K: -0.100 eV/atom. The density of states at the Fermi level is 22.05 states/eV/cell. Its total energy is -0.392 Ry per atom. The calculation puts the spin magnetization at 0.000 μB/f.u.

=====

Cu3Pt4 after structural relaxation, computed with GGA-PBE.

The space group is R3 (No. 146, hexagonal axes) and the conventional cell measures 7.2074, 7.2074 and 6.6614 Å, with angles of 90.00, 90.00 and 120.00 degrees. The distinct sites, in fractional coordinates, are Cu at (0.1446, 0.4311, 0.0000), Pt at (0.0000, 0.0000, 0.0066) and Pt at (0.0471, 0.8088, 0.6653).

As for the formation enthalpy at 0 K: -0.127 eV/atom. The density of states at the Fermi level is 19.56 states/eV/cell. Its total energy is -0.392 Ry per atom. The calculation puts the spin magnetization at 0.000 μB/f.u.

=====

Question: The highest formation enthalpy at 0 K belongs to which entry?
Answer: number 5

=====

What did the third record say?
Cu5Pt7 after structural relaxation, computed with GGA-PBE.

The space group is P4mm (No. 99) and the conventional cell measures 2.770, 2.770 and 22.197 Å, with angles of 90.00, 90.00 and 90.00 degrees. The distinct sites, in fractional coordinates, are Cu at (0.000, 0.000, 0.000), Cu at (0.000, 0.000, 0.162), Cu at (0.000, 0.000, 0.326), Cu at (0.000, 0.000, 0.489), Cu at (0.500, 0.500, 0.928), Pt at (0.000, 0.000, 0.663), Pt at (0.000, 0.000, 0.847), Pt at (0.500, 0.500, 0.080), Pt at (0.500, 0.500, 0.244), Pt at (0.500, 0.500, 0.407), Pt at (0.500, 0.500, 0.571) and Pt at (0.500, 0.500, 0.755).

As for the formation enthalpy at 0 K: -0.109 eV/atom. The density of states at the Fermi level is 15.09 states/eV/cell. Its total energy is -0.392 Ry per atom. The calculation puts the spin magnetization at 0.000 μB/f.u.

=====

Question: Among the records above, which one has the highest formation enthalpy at 0 K?
Answer: number 5